(1)
The following is a GGA-PBE calculation of Mn2FeOs after structural relaxation, from the Alexandria database.

Summary:
The density of states at the Fermi level comes out at 0.96 states/eV per atom. For the density, the calculation gives 12.20 g/cm3. The calculation puts the energy at -9.500 eV per atom. The value obtained for the formation energy is 0.008 eV/atom.

Lattice parameters (Å, degrees): 4.469 4.469 4.469 131.91 131.91 70.37
Sites, in units of the cell vectors:
Mn 0.000 0.000 0.000
Mn 0.750 0.250 0.500
Fe 0.500 0.500 0.000
Os 0.250 0.750 0.500

(2)
The following is a GGA-PBE calculation of TaInCl2O after structural relaxation, from the Alexandria database.

Summary:
The density of states at the Fermi level comes out at 0.61 states/eV per atom. For the density, the calculation gives 5.67 g/cm3. The calculation puts the energy at -4.348 eV per atom. For the uncorrected formation energy, the calculation gives 0.301 eV per atom.

Lattice parameters (Å, degrees): 5.433 5.433 3.794 90.00 90.00 90.00
Sites, in units of the cell vectors:
Ta 0.000 0.000 0.000
In 0.500 0.500 0.500
Cl 0.000 0.500 0.500
Cl 0.500 0.000 0.500
O 0.500 0.500 0.000

(3)
The following is a GGA-PBE calculation of Ce7In2Hg2 after structural relaxation, from the Alexandria database.

Summary:
The density of states at the Fermi level comes out at 3.13 states/eV per atom. For the density, the calculation gives 7.79 g/cm3. The calculation puts the energy at -4.335 eV per atom. The value obtained for the formation energy is -0.007 eV/atom.

Lattice parameters (Å, degrees): 7.095 7.095 7.093 90.00 90.00 105.73
Sites, in units of the cell vectors:
Ce 0.000 0.000 0.000
Ce 0.000 0.500 0.309
Ce 0.000 0.500 0.691
Ce 0.500 0.000 0.309
Ce 0.500 0.000 0.691
Ce 0.500 0.500 0.305
Ce 0.500 0.500 0.695
In 0.159 0.159 0.500
In 0.841 0.841 0.500
Hg 0.292 0.708 0.000
Hg 0.708 0.292 0.000

(4)
The following is a GGA-PBE calculation of CsGe2Pd2 after structural relaxation, from the Alexandria database.

Summary:
The density of states at the Fermi level comes out at 0.37 states/eV per atom. For the density, the calculation gives 6.62 g/cm3. The calculation puts the energy at -4.122 eV per atom. The value obtained for the formation energy is -0.027 eV/atom. As for the energy above the most stable polymorph in this dataset: 343 meV per atom.

Lattice parameters (Å, degrees): 8.761 8.761 3.210 90.00 90.00 90.00
Sites, in units of the cell vectors:
Cs 0.000 0.000 0.000
Cs 0.500 0.500 0.000
Ge 0.116 0.384 0.000
Ge 0.384 0.884 0.000
Ge 0.616 0.116 0.000
Ge 0.884 0.616 0.000
Pd 0.120 0.620 0.500
Pd 0.380 0.120 0.500
Pd 0.620 0.880 0.500
Pd 0.880 0.380 0.500

Which of these has the highest density of states at the Fermi level? Ce7In2Hg2